Material: NaCu2SeO6
Method: DFT, PBE
State: relaxed

CIF file:
```
data_NaCu2SeO6
_space_group_name_H-M_alt 'P 1'
_space_group_IT_number 1
_cell_length_a 7.273
_cell_length_b 6.635
_cell_length_c 6.635
_cell_angle_alpha 98.67
_cell_angle_beta 82.13
_cell_angle_gamma 82.13
loop_
_space_group_symop_operation_xyz
'x,y,z'
loop_
_atom_site_label
_atom_site_fract_x
_atom_site_fract_y
_atom_site_fract_z
_atom_site_occupancy
O1 0.435 0.199 0.800 1
O2 0.102 0.624 0.556 1
O3 0.714 0.160 0.137 1
O4 0.565 0.801 0.200 1
O5 0.935 0.800 0.199 1
O6 0.898 0.376 0.444 1
O7 0.786 0.863 0.840 1
O8 0.602 0.556 0.624 1
O9 0.065 0.200 0.801 1
O10 0.398 0.444 0.376 1
O11 0.286 0.840 0.863 1
O12 0.214 0.137 0.160 1
Na1 0.250 0.787 0.213 1
Na2 0.750 0.213 0.787 1
Se1 0.250 0.106 0.894 1
Se2 0.750 0.894 0.106 1
Cu1 0.656 0.362 0.378 1
Cu2 0.156 0.378 0.362 1
Cu3 0.844 0.622 0.638 1
Cu4 0.344 0.638 0.622 1
```

Values from the calculation:
uncorrected formation energy = -0.7631 eV per atom
mass density = 3.488 g/cm3

***

Material: MgRe2Hg
Method: DFT, PBE
State: relaxed

CIF file:
```
data_MgRe2Hg
_space_group_name_H-M_alt 'P 1'
_space_group_IT_number 1
_cell_length_a 4.755
_cell_length_b 4.755
_cell_length_c 5.284
_cell_angle_alpha 83.61
_cell_angle_beta 83.61
_cell_angle_gamma 34.88
loop_
_space_group_symop_operation_xyz
'x,y,z'
loop_
_atom_site_label
_atom_site_fract_x
_atom_site_fract_y
_atom_site_fract_z
_atom_site_occupancy
Hg1 0.503 0.503 0.521 1
Re1 0.250 0.250 0.208 1
Re2 0.998 0.998 0.031 1
Mg1 0.749 0.749 0.741 1
```

Values from the calculation:
energy of formation from the pure elements = 0.5059 eV/atom
ΔE to the lowest computed polymorph = 319.7 meV per atom
mass density = 14.614 g/cm3

***

Material: CuAg4Br5
Method: DFT, PBE
State: relaxed

CIF file:
```
data_CuAg4Br5
_space_group_name_H-M_alt 'P 1'
_space_group_IT_number 1
_cell_length_a 4.332
_cell_length_b 4.332
_cell_length_c 18.466
_cell_angle_alpha 83.26
_cell_angle_beta 83.26
_cell_angle_gamma 60.00
loop_
_space_group_symop_operation_xyz
'x,y,z'
loop_
_atom_site_label
_atom_site_fract_x
_atom_site_fract_y
_atom_site_fract_z
_atom_site_occupancy
Br1 0.799 0.799 0.602 1
Br2 0.202 0.202 0.395 1
Br3 0.994 0.994 0.017 1
Br4 0.604 0.604 0.187 1
Br5 0.397 0.397 0.810 1
Cu1 0.949 0.949 0.152 1
Ag1 0.152 0.152 0.543 1
Ag2 0.348 0.348 0.957 1
Ag3 0.750 0.750 0.750 1
Ag4 0.555 0.555 0.335 1
```

Values from the calculation:
uncorrected formation energy = -0.3051 eV per atom
mass density = 4.996 g/cm3

***

Material: TcHgSe
Method: DFT, PBE
State: relaxed

CIF file:
```
data_TcHgSe
_space_group_name_H-M_alt 'P 1'
_space_group_IT_number 1
_cell_length_a 4.454
_cell_length_b 4.454
_cell_length_c 4.454
_cell_angle_alpha 60.00
_cell_angle_beta 60.00
_cell_angle_gamma 60.00
loop_
_space_group_symop_operation_xyz
'x,y,z'
loop_
_atom_site_label
_atom_site_fract_x
_atom_site_fract_y
_atom_site_fract_z
_atom_site_occupancy
Hg1 0.000 0.000 0.000 1
Se1 0.500 0.500 0.500 1
Tc1 0.750 0.750 0.750 1
```

Values from the calculation:
uncorrected formation energy = 0.5763 eV per atom
ΔE to the lowest computed polymorph = 566.4 meV per atom
mass density = 10.036 g/cm3

***

Material: CsInTe2
Method: DFT, PBE
State: relaxed

CIF file:
```
data_CsInTe2
_space_group_name_H-M_alt 'P 1'
_space_group_IT_number 1
_cell_length_a 9.723
_cell_length_b 10.278
_cell_length_c 6.613
_cell_angle_alpha 90.00
_cell_angle_beta 90.00
_cell_angle_gamma 90.00
loop_
_space_group_symop_operation_xyz
'x,y,z'
loop_
_atom_site_label
_atom_site_fract_x
_atom_site_fract_y
_atom_site_fract_z
_atom_site_occupancy
Te1 0.832 0.501 0.188 1
Te2 0.749 0.252 0.937 1
Te3 0.249 0.248 0.937 1
Te4 0.668 0.001 0.688 1
Te5 0.751 0.752 0.437 1
Te6 0.332 0.999 0.188 1
Te7 0.251 0.748 0.437 1
Te8 0.168 0.499 0.688 1
Cs1 0.499 0.333 0.437 1
Cs2 0.001 0.833 0.937 1
Cs3 0.501 0.667 0.937 1
Cs4 0.999 0.167 0.437 1
In1 0.649 0.001 0.188 1
In2 0.351 0.999 0.688 1
In3 0.149 0.499 0.188 1
In4 0.851 0.501 0.688 1
```

Values from the calculation:
uncorrected formation energy = -0.5084 eV per atom
mass density = 5.055 g/cm3

***

Material: K2LaBe
Method: DFT, PBE
State: relaxed

CIF file:
```
data_K2LaBe
_space_group_name_H-M_alt 'P 1'
_space_group_IT_number 1
_cell_length_a 12.933
_cell_length_b 12.933
_cell_length_c 12.933
_cell_angle_alpha 16.96
_cell_angle_beta 16.96
_cell_angle_gamma 16.96
loop_
_space_group_symop_operation_xyz
'x,y,z'
loop_
_atom_site_label
_atom_site_fract_x
_atom_site_fract_y
_atom_site_fract_z
_atom_site_occupancy
K1 0.015 0.015 0.015 1
K2 0.485 0.485 0.485 1
La1 0.250 0.250 0.250 1
Be1 0.750 0.750 0.750 1
```

Values from the calculation:
energy of formation from the pure elements = 0.8393 eV/atom
mass density = 2.338 g/cm3

***

Number 1: total energy -100.752 eV/cell. Number 2: total energy -24.769 eV/cell. Number 3: total energy -26.917 eV/cell. Number 4: total energy -12.423 eV/cell. Number 5: total energy -47.636 eV/cell. Number 6: total energy -7.491 eV/cell.